Record 1
A plane-wave DFT calculation with PBE was carried out for a geometry-optimized SbIrSI2 structure. Values from VASP.

Calculated values
The value obtained for the uncorrected formation energy is 0.731 eV per atom. As for the energy above the most stable polymorph in this dataset: 0.0 kJ/mol of formula units. Its total energy is -16.56 eV/cell.

```
&SYSTEM
  ibrav = 0, nat = 5, ntyp = 4
/
ATOMIC_SPECIES
I 126.90 I.upf
Sb 121.76 Sb.upf
S 32.06 S.upf
Ir 192.22 Ir.upf
ATOMIC_POSITIONS angstrom
I -2.594 -0.692 -0.388
I -0.460 0.234 2.663
Sb 0.604 -2.444 0.320
S -2.450 -2.902 2.595
Ir 0.000 0.000 0.000
CELL_PARAMETERS angstrom
-0.921 0.469 5.326
-5.188 -1.384 -0.775
1.208 -4.888 0.639
```


Record 2
A plane-wave DFT calculation with PBE was carried out for a geometry-optimized SbIrSI2 structure. Values from VASP.

Calculated values
The value obtained for the uncorrected formation energy is 1.456 eV per atom. As for the energy above the most stable polymorph in this dataset: 349.7 kJ/mol of formula units. Its total energy is -12.93 eV/cell.

```
&SYSTEM
  ibrav = 0, nat = 5, ntyp = 4
/
ATOMIC_SPECIES
I 126.90 I.upf
Sb 121.76 Sb.upf
S 32.06 S.upf
Ir 192.22 Ir.upf
ATOMIC_POSITIONS angstrom
I 0.000 2.628 0.000
I 2.628 0.000 0.000
Sb 0.000 0.000 2.680
S 0.000 0.000 0.000
Ir 2.628 2.628 2.680
CELL_PARAMETERS angstrom
5.255 0.000 0.000
0.000 5.255 0.000
0.000 0.000 5.360
```


Record 3
A plane-wave DFT calculation with PBE was carried out for a geometry-optimized Sm6Ir2SI3 structure. Values from VASP.

Calculated values
The value obtained for the uncorrected formation energy is -1.129 eV per atom. Its total energy is -68.36 eV/cell.

```
&SYSTEM
  ibrav = 0, nat = 12, ntyp = 4
/
ATOMIC_SPECIES
Sm 150.36 Sm.upf
Ir 192.22 Ir.upf
S 32.06 S.upf
I 126.90 I.upf
ATOMIC_POSITIONS angstrom
Sm -5.226 -3.522 4.427
Sm -3.010 -3.914 -0.663
Sm 0.704 -2.760 0.705
Sm -1.724 -6.186 4.252
Sm -1.511 -2.368 5.795
Sm -2.798 -0.096 0.880
Ir -0.381 -3.882 -1.608
Ir -3.736 -1.331 -1.440
S 0.000 0.000 0.000
I 1.115 -5.708 2.397
I -5.636 -0.574 2.735
I -2.261 -3.141 2.566
CELL_PARAMETERS angstrom
-7.084 1.216 -1.273
2.967 -6.429 -1.776
-0.405 -1.069 8.181
```


Record 4
A plane-wave DFT calculation with PBE was carried out for a geometry-optimized Sm4IrSI2 structure. Values from VASP.

Calculated values
The value obtained for the uncorrected formation energy is -1.184 eV per atom. Its total energy is -44.44 eV/cell.

```
&SYSTEM
  ibrav = 0, nat = 8, ntyp = 4
/
ATOMIC_SPECIES
Sm 150.36 Sm.upf
Ir 192.22 Ir.upf
S 32.06 S.upf
I 126.90 I.upf
ATOMIC_POSITIONS angstrom
Sm 2.051 1.247 1.473
Sm 2.051 3.625 6.424
Sm 0.000 0.059 6.327
Sm 0.000 4.813 1.570
Ir 2.051 3.725 0.086
S 0.000 0.000 0.000
I 2.051 -1.289 3.863
I 0.000 2.436 3.949
CELL_PARAMETERS angstrom
4.101 0.000 0.000
0.000 7.451 0.172
0.000 -2.578 7.725
```


Record 5
A plane-wave DFT calculation with PBE was carried out for a geometry-optimized TeIrSI2 structure. Values from VASP.

Calculated values
The value obtained for the uncorrected formation energy is 0.768 eV per atom. As for the energy above the most stable polymorph in this dataset: 0.0 kJ/mol of formula units. Its total energy is -15.39 eV/cell.

```
&SYSTEM
  ibrav = 0, nat = 5, ntyp = 4
/
ATOMIC_SPECIES
I 126.90 I.upf
S 32.06 S.upf
Ir 192.22 Ir.upf
Te 127.60 Te.upf
ATOMIC_POSITIONS angstrom
I 0.000 2.722 0.000
I 2.722 0.000 0.000
S 2.722 2.722 2.549
Ir 0.000 0.000 0.000
Te 0.000 0.000 2.549
CELL_PARAMETERS angstrom
5.444 0.000 0.000
0.000 5.444 0.000
0.000 0.000 5.097
```


Record 6
A plane-wave DFT calculation with PBE was carried out for a geometry-optimized TeIrSI2 structure. Values from VASP.

Calculated values
The value obtained for the uncorrected formation energy is 1.446 eV per atom. As for the energy above the most stable polymorph in this dataset: 326.9 kJ/mol of formula units. Its total energy is -12.00 eV/cell.

```
&SYSTEM
  ibrav = 0, nat = 5, ntyp = 4
/
ATOMIC_SPECIES
I 126.90 I.upf
S 32.06 S.upf
Ir 192.22 Ir.upf
Te 127.60 Te.upf
ATOMIC_POSITIONS angstrom
I 2.623 -0.443 0.226
I -0.482 -2.564 0.564
S 0.000 0.000 0.000
Ir 2.018 -2.416 3.375
Te -0.123 0.591 2.585
CELL_PARAMETERS angstrom
-0.964 -5.129 1.127
5.245 -0.886 0.453
-0.246 1.183 5.169
```